The following is a GGA-PBE calculation of a relaxed Fe5Ir crystal, from the Alexandria database.

Geometry as CIF:
```
data_Fe5Ir
_space_group_name_H-M_alt 'P 1'
_space_group_IT_number 1
_space_group_name_Hall 'P 1'
_cell_length_a 4.075
_cell_length_b 6.767
_cell_length_c 6.767
_cell_angle_alpha 21.79
_cell_angle_beta 90.00
_cell_angle_gamma 90.00
loop_
_atom_site_label
_atom_site_fract_x
_atom_site_fract_y
_atom_site_fract_z
Fe1 0.000 0.000 0.000
Fe2 0.000 0.325 0.325
Fe3 0.000 0.664 0.664
Fe4 0.500 0.109 0.109
Fe5 0.500 0.767 0.767
Ir1 0.500 0.438 0.438
```

Computed properties:
The symmetry is Amm2, No. 38. Its energy of formation is 34 meV/atom.

***

The following is a GGA-PBE calculation of a relaxed Sr3ScI crystal, from the Alexandria database.

Geometry as CIF:
```
data_Sr3ScI
_space_group_name_H-M_alt 'P 1'
_space_group_IT_number 1
_space_group_name_Hall 'P 1'
_cell_length_a 6.471
_cell_length_b 6.471
_cell_length_c 6.471
_cell_angle_alpha 90.00
_cell_angle_beta 90.00
_cell_angle_gamma 90.00
loop_
_atom_site_label
_atom_site_fract_x
_atom_site_fract_y
_atom_site_fract_z
Sr1 0.000 0.000 0.500
Sr2 0.000 0.500 0.000
Sr3 0.500 0.000 0.000
Sc1 0.000 0.000 0.000
I1 0.500 0.500 0.500
```

Computed properties:
The formation energy without anion corrections is 0.315 eV per atom. The symmetry is Pm-3m, No. 221.

***

The following is a GGA-PBE calculation of a relaxed YZn3Se crystal, from the Alexandria database.

Geometry as CIF:
```
data_YZn3Se
_space_group_name_H-M_alt 'P 1'
_space_group_IT_number 1
_space_group_name_Hall 'P 1'
_cell_length_a 5.553
_cell_length_b 5.553
_cell_length_c 5.553
_cell_angle_alpha 90.00
_cell_angle_beta 90.00
_cell_angle_gamma 90.00
loop_
_atom_site_label
_atom_site_fract_x
_atom_site_fract_y
_atom_site_fract_z
Y1 0.000 0.000 0.000
Zn1 0.000 0.000 0.500
Zn2 0.000 0.500 0.000
Zn3 0.500 0.000 0.000
Se1 0.500 0.500 0.500
```

Computed properties:
The formation energy without anion corrections is 0.820 eV per atom. The symmetry is Pm-3m, No. 221.

***

The following is a GGA-PBE calculation of a relaxed BaLi2Sc crystal, from the Alexandria database.

Geometry as CIF:
```
data_BaLi2Sc
_space_group_name_H-M_alt 'P 1'
_space_group_IT_number 1
_space_group_name_Hall 'P 1'
_cell_length_a 6.082
_cell_length_b 6.082
_cell_length_c 6.082
_cell_angle_alpha 132.25
_cell_angle_beta 132.25
_cell_angle_gamma 69.84
loop_
_atom_site_label
_atom_site_fract_x
_atom_site_fract_y
_atom_site_fract_z
Ba1 0.000 0.000 0.000
Li1 0.250 0.750 0.500
Li2 0.500 0.500 0.000
Sc1 0.750 0.250 0.500
```

Computed properties:
The symmetry is I-4m2, No. 119. Its energy of formation is 368 meV/atom.

***

The following is a GGA-PBE calculation of a relaxed Y3ErN4 crystal, from the Alexandria database.

Geometry as CIF:
```
data_Y3ErN4
_space_group_name_H-M_alt 'P 1'
_space_group_IT_number 1
_space_group_name_Hall 'P 1'
_cell_length_a 6.003
_cell_length_b 6.934
_cell_length_c 6.002
_cell_angle_alpha 90.00
_cell_angle_beta 109.46
_cell_angle_gamma 90.00
loop_
_atom_site_label
_atom_site_fract_x
_atom_site_fract_y
_atom_site_fract_z
Y1 0.000 0.124 0.250
Y2 0.000 0.375 0.750
Y3 0.000 0.625 0.250
Y4 0.000 0.876 0.750
Y5 0.500 0.375 0.250
Y6 0.500 0.625 0.750
Er1 0.500 0.124 0.750
Er2 0.500 0.876 0.250
N1 0.251 0.374 0.502
N2 0.251 0.626 0.002
N3 0.253 0.123 0.000
N4 0.253 0.877 0.500
N5 0.747 0.123 0.500
N6 0.747 0.877 0.000
N7 0.749 0.374 0.998
N8 0.749 0.626 0.498
```

Computed properties:
The formation energy without anion corrections is -1.714 eV per atom. The symmetry is P2/c, No. 13.

***

What did the fourth record say?
The following is a GGA-PBE calculation of a relaxed BaLi2Sc crystal, from the Alexandria database.

Geometry as CIF:
```
data_BaLi2Sc
_space_group_name_H-M_alt 'P 1'
_space_group_IT_number 1
_space_group_name_Hall 'P 1'
_cell_length_a 6.082
_cell_length_b 6.082
_cell_length_c 6.082
_cell_angle_alpha 132.25
_cell_angle_beta 132.25
_cell_angle_gamma 69.84
loop_
_atom_site_label
_atom_site_fract_x
_atom_site_fract_y
_atom_site_fract_z
Ba1 0.000 0.000 0.000
Li1 0.250 0.750 0.500
Li2 0.500 0.500 0.000
Sc1 0.750 0.250 0.500
```

Computed properties:
The symmetry is I-4m2, No. 119. Its energy of formation is 368 meV/atom.